Entry 1:
Compound: LiFe2Co
Source: the Alexandria database
Functional: PBE
Structure: relaxed

a b c (Å): 2.3968 3.8948 4.9973
angles (deg): 90.00 90.00 90.00
With the nearest neighbours (Å) after each atom.
Positions (direct):
Li 0.0000 0.0000 0.0000  2 Li 2.40, 6 Fe 2.47-2.61, 4 Co 2.61
Fe 0.0000 0.0000 0.4947  6 Fe 2.40-2.62, 2 Li 2.47-2.53, 4 Co 2.59
Fe 0.5000 0.5000 0.7497  6 Fe 2.40-2.62, 2 Co 2.49-2.51, 4 Li 2.61
Co 0.5000 0.5000 0.2522  2 Co 2.40, 6 Fe 2.49-2.59, 4 Li 2.61

Calculated values
The calculation puts the total magnetic moment at 6.6 μB/f.u. As for the space group: Pmm2 (25). For the formation energy, the calculation gives 16 kJ/mol of atoms. The calculation puts the energy relative to the lowest polymorph listed for this composition at 62 meV per atom.

Entry 2:
Compound: Sc3ReGe
Source: the Alexandria database
Functional: PBE
Structure: relaxed

a b c (Å): 5.0032 5.0032 5.0032
angles (deg): 90.00 90.00 90.00
With the nearest neighbours (Å) after each atom.
Positions (direct):
Sc 0.0000 0.0000 0.5000  2 Re 2.50
Sc 0.0000 0.5000 0.0000  2 Re 2.50
Sc 0.5000 0.0000 0.0000  2 Re 2.50
Re 0.0000 0.0000 0.0000  6 Sc 2.50
Ge 0.5000 0.5000 0.5000  12 Sc 3.54

Calculated values
The calculation puts the total magnetic moment at 0.0 μB/f.u. As for the space group: Pm-3m (221). For the formation energy, the calculation gives 29 kJ/mol of atoms. The calculation puts the energy relative to the lowest polymorph listed for this composition at 0 meV per atom.

Repeat the first record exactly.
Compound: LiFe2Co
Source: the Alexandria database
Functional: PBE
Structure: relaxed

a b c (Å): 2.3968 3.8948 4.9973
angles (deg): 90.00 90.00 90.00
With the nearest neighbours (Å) after each atom.
Positions (direct):
Li 0.0000 0.0000 0.0000  2 Li 2.40, 6 Fe 2.47-2.61, 4 Co 2.61
Fe 0.0000 0.0000 0.4947  6 Fe 2.40-2.62, 2 Li 2.47-2.53, 4 Co 2.59
Fe 0.5000 0.5000 0.7497  6 Fe 2.40-2.62, 2 Co 2.49-2.51, 4 Li 2.61
Co 0.5000 0.5000 0.2522  2 Co 2.40, 6 Fe 2.49-2.59, 4 Li 2.61

Calculated values
The calculation puts the total magnetic moment at 6.6 μB/f.u. As for the space group: Pmm2 (25). For the formation energy, the calculation gives 16 kJ/mol of atoms. The calculation puts the energy relative to the lowest polymorph listed for this composition at 62 meV per atom.